Material: Ba2CuB
Method: DFT, GGA-PBE
State: relaxed

a b c (Å): 5.1915 5.1915 5.1915
angles (deg): 60.00 60.00 60.00
Last column: nearest neighbours and their distance in Å.
Fractional coordinates of all 4 atoms:
1 Ba 0.0000 0.0000 0.0000  4 Ba 3.18, 4 Cu 3.18
2 Ba 0.2500 0.2500 0.2500  4 Ba 3.18, 4 B 3.18
3 Cu 0.7500 0.7500 0.7500  4 Ba 3.18, 4 B 3.18
4 B 0.5000 0.5000 0.5000  4 Ba 3.18, 4 Cu 3.18

Output
SG: F-43m, No. 216
Crystal system: cubic
E_tot: -2.736 eV/atom

---

Material: CuTcBAu
Method: DFT, GGA-PBE
State: relaxed

a b c (Å): 4.2161 4.2161 4.2161
angles (deg): 60.00 60.00 60.00
Last column: nearest neighbours and their distance in Å.
Fractional coordinates of all 4 atoms:
1 Cu 0.0000 0.0000 0.0000  4 B 2.58, 4 Au 2.58
2 Tc 0.5000 0.5000 0.5000  4 B 2.58, 4 Au 2.58
3 B 0.7500 0.7500 0.7500  4 Tc 2.58, 4 Cu 2.58
4 Au 0.2500 0.2500 0.2500  4 Tc 2.58, 4 Cu 2.58

Output
SG: F-43m, No. 216
Crystal system: cubic
E_tot: -5.199 eV/atom

---

Material: ZnCuTcIr
Method: DFT, GGA-PBE
State: relaxed

a b c (Å): 4.2816 4.2816 4.2816
angles (deg): 60.00 60.00 60.00
Last column: nearest neighbours and their distance in Å.
Fractional coordinates of all 4 atoms:
1 Zn 0.0000 0.0000 0.0000  4 Ir 2.62, 4 Cu 2.62
2 Cu 0.2500 0.2500 0.2500  4 Tc 2.62, 4 Zn 2.62
3 Tc 0.5000 0.5000 0.5000  4 Cu 2.62, 4 Ir 2.62
4 Ir 0.7500 0.7500 0.7500  4 Tc 2.62, 4 Zn 2.62

Output
SG: F-43m, No. 216
Crystal system: cubic
Formation enthalpy at 0 K: 93 meV/atom

---

Material: Ni15As
Method: DFT, GGA-PBE
State: relaxed

a b c (Å): 3.5111 7.0258 41.0092
angles (deg): 90.00 90.00 90.00
Last column: nearest neighbours and their distance in Å.
Fractional coordinates of all 64 atoms:
1 Ni 0.2500 0.1169 0.0000  2 As 2.31, 6 Ni 2.40-2.52
2 Ni 0.2500 0.1216 0.5948  1 As 2.37, 11 Ni 2.45-2.52
3 Ni 0.2500 0.1248 0.1706  12 Ni 2.47-2.48
4 Ni 0.2500 0.1250 0.2558  12 Ni 2.47-2.48
5 Ni 0.2500 0.1250 0.3405  12 Ni 2.47-2.49
6 Ni 0.2500 0.1250 0.4258  12 Ni 2.47-2.48
7 Ni 0.2500 0.1251 0.5108  12 Ni 2.46-2.49
8 Ni 0.2500 0.1268 0.0862  12 Ni 2.45-2.53
9 Ni 0.2500 0.3754 0.1284  12 Ni 2.46-2.49
10 Ni 0.2500 0.3750 0.2132  12 Ni 2.48
11 Ni 0.2500 0.3750 0.2982  12 Ni 2.47-2.48
12 Ni 0.2500 0.3750 0.3835  12 Ni 2.47-2.49
13 Ni 0.2500 0.3748 0.4681  12 Ni 2.47-2.49
14 Ni 0.2500 0.3755 0.5531  12 Ni 2.47-2.51
15 Ni 0.2500 0.3784 0.0420  9 Ni 2.45-2.53, 3 As 2.52-2.71
16 Ni 0.2500 0.6212 0.5969  9 Ni 2.45-2.53, 3 As 2.52-2.71
17 Ni 0.2500 0.6245 0.0860  12 Ni 2.47-2.52
18 Ni 0.2500 0.6252 0.1706  12 Ni 2.47-2.49
19 Ni 0.2500 0.6250 0.2558  12 Ni 2.47-2.48
20 Ni 0.2500 0.6249 0.3405  12 Ni 2.47-2.49
21 Ni 0.2500 0.6250 0.4258  12 Ni 2.47-2.48
22 Ni 0.2500 0.6245 0.5106  12 Ni 2.46-2.49
23 Ni 0.2500 0.8734 0.5529  12 Ni 2.45-2.53
24 Ni 0.2500 0.8751 0.1282  12 Ni 2.46-2.49
25 Ni 0.2500 0.8750 0.2132  12 Ni 2.48
26 Ni 0.2500 0.8750 0.2982  12 Ni 2.47-2.48
27 Ni 0.2500 0.8750 0.3835  12 Ni 2.47-2.49
28 Ni 0.2500 0.8751 0.4681  12 Ni 2.47-2.48
29 Ni 0.2500 0.8786 0.0441  1 As 2.37, 11 Ni 2.45-2.52
30 Ni 0.2500 0.8831 0.6388  2 As 2.31, 6 Ni 2.40-2.52
31 Ni 0.7500 0.1169 0.6388  2 As 2.31, 6 Ni 2.40-2.52
32 Ni 0.7500 0.1214 0.0441  1 As 2.37, 11 Ni 2.45-2.52
33 Ni 0.7500 0.1249 0.1282  12 Ni 2.46-2.49
34 Ni 0.7500 0.1250 0.2132  12 Ni 2.48
35 Ni 0.7500 0.1250 0.2982  12 Ni 2.47-2.48
36 Ni 0.7500 0.1250 0.3835  12 Ni 2.47-2.49
37 Ni 0.7500 0.1249 0.4681  12 Ni 2.47-2.48
38 Ni 0.7500 0.1266 0.5529  12 Ni 2.45-2.53
39 Ni 0.7500 0.3748 0.1706  12 Ni 2.47-2.49
40 Ni 0.7500 0.3750 0.2558  12 Ni 2.47-2.48
41 Ni 0.7500 0.3751 0.3405  12 Ni 2.47-2.49
42 Ni 0.7500 0.3750 0.4258  12 Ni 2.47-2.48
43 Ni 0.7500 0.3755 0.5106  12 Ni 2.46-2.49
44 Ni 0.7500 0.3755 0.0860  12 Ni 2.47-2.52
45 Ni 0.7500 0.3788 0.5969  9 Ni 2.45-2.53, 3 As 2.52-2.71
46 Ni 0.7500 0.6216 0.0420  9 Ni 2.45-2.53, 3 As 2.52-2.71
47 Ni 0.7500 0.6245 0.5531  12 Ni 2.47-2.51
48 Ni 0.7500 0.6246 0.1284  12 Ni 2.46-2.49
49 Ni 0.7500 0.6250 0.2132  12 Ni 2.48
50 Ni 0.7500 0.6250 0.2982  12 Ni 2.47-2.48
51 Ni 0.7500 0.6250 0.3835  12 Ni 2.47-2.49
52 Ni 0.7500 0.6252 0.4681  12 Ni 2.47-2.49
53 Ni 0.7500 0.8732 0.0862  12 Ni 2.45-2.53
54 Ni 0.7500 0.8752 0.1706  12 Ni 2.47-2.48
55 Ni 0.7500 0.8750 0.2558  12 Ni 2.47-2.48
56 Ni 0.7500 0.8750 0.3405  12 Ni 2.47-2.49
57 Ni 0.7500 0.8750 0.4258  12 Ni 2.47-2.48
58 Ni 0.7500 0.8749 0.5108  12 Ni 2.46-2.49
59 Ni 0.7500 0.8784 0.5948  1 As 2.37, 11 Ni 2.45-2.52
60 Ni 0.7500 0.8831 0.0000  2 As 2.31, 6 Ni 2.40-2.52
61 As 0.2500 0.3306 0.6403  5 Ni 2.31-2.52
62 As 0.2500 0.6694 0.9986  5 Ni 2.31-2.52
63 As 0.7500 0.3306 0.9986  5 Ni 2.31-2.52
64 As 0.7500 0.6694 0.6403  5 Ni 2.31-2.52

Output
SG: Pma2, No. 28
Crystal system: orthorhombic
E_tot: -5.468 eV/atom

---

Material: Dy3In3Ni2Au
Method: DFT, GGA-PBE
State: relaxed

a b c (Å): 7.5302 7.5302 3.9251
angles (deg): 90.00 90.00 120.00
Last column: nearest neighbours and their distance in Å.
Fractional coordinates of all 9 atoms:
1 Dy 0.0000 0.5915 0.0000  4 Ni 3.01, 1 Au 3.08, 6 In 3.10-3.35
2 Dy 0.4085 0.4085 0.0000  4 Ni 3.01, 1 Au 3.08, 6 In 3.10-3.35
3 Dy 0.5915 0.0000 0.0000  4 Ni 3.01, 1 Au 3.08, 6 In 3.10-3.35
4 In 0.0000 0.2731 0.5000  2 Ni 2.76, 2 Au 2.84
5 In 0.2731 0.0000 0.5000  2 Ni 2.76, 2 Au 2.84
6 In 0.7269 0.7269 0.5000  2 Ni 2.76, 2 Au 2.84
7 Ni 0.3333 0.6667 0.5000  3 In 2.76, 6 Dy 3.01
8 Ni 0.6667 0.3333 0.5000  3 In 2.76, 6 Dy 3.01
9 Au 0.0000 0.0000 0.0000  6 In 2.84, 3 Dy 3.08

Output
SG: P-62m, No. 189
Crystal system: hexagonal
E_tot: -4.602 eV/atom

---

Material: CsSrPd
Method: DFT, GGA-PBE
State: relaxed

a b c (Å): 5.5370 5.5370 5.5370
angles (deg): 60.00 60.00 60.00
Last column: nearest neighbours and their distance in Å.
Fractional coordinates of all 3 atoms:
1 Cs 0.0000 0.0000 0.0000  4 Pd 3.39
2 Sr 0.5000 0.5000 0.5000  4 Pd 3.39
3 Pd 0.2500 0.2500 0.2500  4 Sr 3.39, 4 Cs 3.39

Output
SG: F-43m, No. 216
Crystal system: cubic
E_tot: -2.534 eV/atom

---

Material: Hf6TcBi2
Method: DFT, GGA-PBE
State: relaxed

a b c (Å): 7.9586 7.9586 3.6310
angles (deg): 90.00 90.00 120.00
Last column: nearest neighbours and their distance in Å.
Fractional coordinates of all 9 atoms:
1 Hf 0.0000 0.3842 0.0000  1 Tc 3.06, 4 Bi 3.07, 4 Hf 3.24
2 Hf 0.0000 0.7540 0.5000  2 Tc 2.67
3 Hf 0.2460 0.2460 0.5000  2 Tc 2.67
4 Hf 0.3842 0.0000 0.0000  1 Tc 3.06, 4 Bi 3.07, 4 Hf 3.24
5 Hf 0.6158 0.6158 0.0000  1 Tc 3.06, 4 Bi 3.07, 4 Hf 3.24
6 Hf 0.7540 0.0000 0.5000  2 Tc 2.67
7 Tc 0.0000 0.0000 0.0000  6 Hf 2.67
8 Bi 0.3333 0.6667 0.5000  9 Hf 3.06-3.07
9 Bi 0.6667 0.3333 0.5000  9 Hf 3.06-3.07

Output
SG: P-62m, No. 189
Crystal system: hexagonal
E_tot: -8.894 eV/atom

---

Material: YHoCo2C2
Method: DFT, GGA-PBE
State: relaxed

a b c (Å): 3.6145 3.6145 6.9166
angles (deg): 90.00 90.00 90.00
Last column: nearest neighbours and their distance in Å.
Fractional coordinates of all 6 atoms:
1 Y 0.0000 0.0000 0.0000  4 C 2.51
2 Ho 0.0000 0.0000 0.5000  4 C 2.50
3 Co 0.5000 0.5000 0.2506  2 C 1.81
4 Co 0.5000 0.5000 0.7494  2 C 1.81
5 C 0.0000 0.5000 0.2508  2 Co 1.81
6 C 0.5000 0.0000 0.7492  2 Co 1.81

Output
SG: P-4m2, No. 115
Crystal system: tetragonal
E_tot: -7.603 eV/atom

---

Material: CsHfAg3Te4
Method: DFT, GGA-PBE
State: relaxed

a b c (Å): 6.6491 8.5912 11.0693
angles (deg): 90.00 106.57 90.00
Last column: nearest neighbours and their distance in Å.
Fractional coordinates of all 18 atoms:
1 Cs 0.1800 0.2500 0.3859  9 Te 3.91-4.31
2 Cs 0.8200 0.7500 0.6141  9 Te 3.91-4.31
3 Hf 0.3622 0.7500 0.2117  4 Te 2.68-2.81
4 Hf 0.6378 0.2500 0.7883  4 Te 2.68-2.81
5 Ag 0.1373 0.2500 0.7923  4 Te 2.80-2.97, 2 Ag 2.97
6 Ag 0.2885 0.0232 0.0015  4 Te 2.84-2.92, 2 Ag 2.85-2.97
7 Ag 0.2885 0.4768 0.0015  4 Te 2.84-2.92, 2 Ag 2.85-2.97
8 Ag 0.7115 0.5232 0.9985  4 Te 2.84-2.92, 2 Ag 2.85-2.97
9 Ag 0.7115 0.9768 0.9985  4 Te 2.84-2.92, 2 Ag 2.85-2.97
10 Ag 0.8627 0.7500 0.2077  4 Te 2.80-2.97, 2 Ag 2.97
11 Te 0.0323 0.7500 0.9864  1 Hf 2.81, 5 Ag 2.88-2.97
12 Te 0.2211 0.7500 0.4160  1 Hf 2.68, 1 Ag 2.80
13 Te 0.3917 0.5138 0.7648  1 Hf 2.76, 3 Ag 2.84-2.91
14 Te 0.3917 0.9862 0.7648  1 Hf 2.76, 3 Ag 2.84-2.91
15 Te 0.6083 0.0138 0.2352  1 Hf 2.76, 3 Ag 2.84-2.91
16 Te 0.6083 0.4862 0.2352  1 Hf 2.76, 3 Ag 2.84-2.91
17 Te 0.7789 0.2500 0.5840  1 Hf 2.68, 1 Ag 2.80
18 Te 0.9677 0.2500 0.0136  1 Hf 2.81, 5 Ag 2.88-2.97

Output
SG: P2_1/m, No. 11
Crystal system: monoclinic
E_tot: -4.101 eV/atom

---

Material: ThNpRe
Method: DFT, GGA-PBE
State: relaxed

a b c (Å): 4.8357 4.8357 4.8357
angles (deg): 60.00 60.00 60.00
Last column: nearest neighbours and their distance in Å.
Fractional coordinates of all 3 atoms:
1 Th 0.0000 0.0000 0.0000  4 Re 2.96
2 Np 0.5000 0.5000 0.5000  4 Re 2.96
3 Re 0.2500 0.2500 0.2500  4 Th 2.96, 4 Np 2.96

Output
SG: F-43m, No. 216
Crystal system: cubic
Formation enthalpy at 0 K: 454 meV/atom

---

Material: HoBeAsO
Method: DFT, GGA-PBE
State: relaxed

a b c (Å): 3.0653 5.4184 6.9914
angles (deg): 90.00 90.00 90.00
Last column: nearest neighbours and their distance in Å.
Fractional coordinates of all 8 atoms:
1 Ho 0.0000 0.1564 0.0000  2 O 2.20-2.22
2 Ho 0.0000 0.8436 0.5000  2 O 2.20-2.22
3 Be 0.5000 0.2983 0.3532  2 O 1.69
4 Be 0.5000 0.7017 0.8532  2 O 1.69
5 As 0.5000 0.3450 0.6730  2 Be 2.25-2.31
6 As 0.5000 0.6550 0.1730  2 Be 2.25-2.31
7 O 0.0000 0.1761 0.3146  2 Be 1.69
8 O 0.0000 0.8239 0.8146  2 Be 1.69

Output
SG: Pmc2_1, No. 26
Crystal system: orthorhombic
E_tot: -6.041 eV/atom

---

Material: SmYHg
Method: DFT, GGA-PBE
State: relaxed

a b c (Å): 5.1467 5.1467 5.1467
angles (deg): 60.00 60.00 60.00
Last column: nearest neighbours and their distance in Å.
Fractional coordinates of all 3 atoms:
1 Sm 0.0000 0.0000 0.0000  4 Hg 3.15
2 Y 0.5000 0.5000 0.5000  4 Hg 3.15
3 Hg 0.2500 0.2500 0.2500  4 Y 3.15, 4 Sm 3.15

Output
SG: F-43m, No. 216
Crystal system: cubic
Formation enthalpy at 0 K: -117 meV/atom

---

Q: Which formula does entry 2 have?
A: CuTcBAu